# HoGa6Co4 (GGA-PBE, relaxed)
# Calculated volume, Å³/atom: 14.7
# DFT formation energy, eV/atom: -0.292
# Crystal system: hexagonal
# Electronic total energy, eV/atom: -4.943
data_HoGa6Co4
_space_group_name_H-M_alt 'P -6 m 2'
_space_group_IT_number 187
_space_group_name_Hall 'P -6 2'
_cell_length_a 6.9492
_cell_length_b 6.9492
_cell_length_c 3.8756
_cell_angle_alpha 90.00
_cell_angle_beta 90.00
_cell_angle_gamma 120.00
loop_
_atom_site_label
_atom_site_type_symbol
_atom_site_fract_x
_atom_site_fract_y
_atom_site_fract_z
_atom_site_occupancy
Ho1 Ho 0.0000 0.0000 0.0000 1
Ga1 Ga 0.0659 0.5330 0.0000 1
Ga2 Ga 0.3900 0.1950 0.5000 1
Co1 Co 0.2113 0.4225 0.5000 1
Co2 Co 0.6667 0.3333 0.0000 1

---

# HoGaCo (GGA-PBE, relaxed)
# Calculated volume, Å³/atom: 17.6
# DFT formation energy, eV/atom: -0.507
# Crystal system: orthorhombic
# Electronic total energy, eV/atom: -5.411
data_HoGaCo
_space_group_name_H-M_alt 'P n m a'
_space_group_IT_number 62
_cell_length_a 7.014
_cell_length_b 4.397
_cell_length_c 6.841
_cell_angle_alpha 90.00
_cell_angle_beta 90.00
_cell_angle_gamma 90.00
loop_
_space_group_symop_operation_xyz
'x,y,z'
'-x,-y,-z'
'-x+1/2,-y,z+1/2'
'x+1/2,y,-z+1/2'
'x+1/2,-y+1/2,-z+1/2'
'-x+1/2,y+1/2,z+1/2'
'-x,y+1/2,-z'
'x,-y+1/2,z'
loop_
_atom_site_label
_atom_site_type_symbol
_atom_site_fract_x
_atom_site_fract_y
_atom_site_fract_z
_atom_site_occupancy
Ho1 Ho 0.023 0.250 0.196 1
Ga1 Ga 0.196 0.250 0.607 1
Co1 Co 0.153 0.750 0.437 1

---

# HoGa2Co2 (GGA-PBE, relaxed)
# Calculated volume, Å³/atom: 16.1
# DFT formation energy, eV/atom: -0.414
# Crystal system: tetragonal
# Electronic total energy, eV/atom: -5.383
data_HoGa2Co2
_space_group_name_H-M_alt 'I 4/m m m'
_space_group_IT_number 139
_space_group_name_Hall '-I 4 2'
_cell_length_a 4.042
_cell_length_b 4.042
_cell_length_c 9.861
_cell_angle_alpha 90.00
_cell_angle_beta 90.00
_cell_angle_gamma 90.00
loop_
_atom_site_label
_atom_site_type_symbol
_atom_site_fract_x
_atom_site_fract_y
_atom_site_fract_z
_atom_site_occupancy
Ho1 Ho 0.000 0.000 0.000 1
Ga1 Ga 0.000 0.000 0.370 1
Co1 Co 0.000 0.500 0.250 1

---

# Ho12GaCo5 (GGA-PBE, relaxed)
# Calculated volume, Å³/atom: 23.2
# DFT formation energy, eV/atom: -0.250
# Crystal system: orthorhombic
# Electronic total energy, eV/atom: -5.444
data_Ho12GaCo5
_space_group_name_H-M_alt 'I m m m'
_space_group_IT_number 71
_space_group_name_Hall '-I 2 2'
_cell_length_a 9.232
_cell_length_b 9.310
_cell_length_c 9.726
_cell_angle_alpha 90.00
_cell_angle_beta 90.00
_cell_angle_gamma 90.00
loop_
_atom_site_label
_atom_site_type_symbol
_atom_site_fract_x
_atom_site_fract_y
_atom_site_fract_z
_atom_site_occupancy
Ho1 Ho 0.000 0.188 0.225 1
Ho2 Ho 0.191 0.500 0.176 1
Ho3 Ho 0.218 0.319 0.500 1
Ga1 Ga 0.000 0.000 0.500 1
Co1 Co 0.000 0.000 0.000 1
Co2 Co 0.000 0.348 0.000 1
Co3 Co 0.000 0.500 0.385 1

---

# Ho12Ga6Co (GGA-PBE, relaxed)
# Calculated volume, Å³/atom: 28.6
# DFT formation energy, eV/atom: -0.204
# Crystal system: trigonal
# Electronic total energy, eV/atom: -4.425
data_Ho12Ga6Co
_space_group_name_H-M_alt 'R -3'
_space_group_IT_number 148
_space_group_name_Hall '-R 3'
_cell_length_a 12.6217
_cell_length_b 12.6217
_cell_length_c 11.8313
_cell_angle_alpha 90.00
_cell_angle_beta 90.00
_cell_angle_gamma 120.00
loop_
_atom_site_label
_atom_site_type_symbol
_atom_site_fract_x
_atom_site_fract_y
_atom_site_fract_z
_atom_site_occupancy
Ho1 Ho 0.0364 0.2118 0.3946 1
Ho2 Ho 0.0483 0.1962 0.8844 1
Ga1 Ga 0.0520 0.2715 0.6465 1
Co1 Co 0.0000 0.0000 0.0000 1

---

# Ho6GaCo2 (GGA-PBE, relaxed)
# Calculated volume, Å³/atom: 23.7
# DFT formation energy, eV/atom: -0.303
# Crystal system: orthorhombic
# Electronic total energy, eV/atom: -5.270
data_Ho6GaCo2
_space_group_name_H-M_alt 'I m m m'
_space_group_IT_number 71
_space_group_name_Hall '-I 2 2'
_cell_length_a 9.197
_cell_length_b 9.486
_cell_length_c 9.800
_cell_angle_alpha 90.00
_cell_angle_beta 90.00
_cell_angle_gamma 90.00
loop_
_atom_site_label
_atom_site_type_symbol
_atom_site_fract_x
_atom_site_fract_y
_atom_site_fract_z
_atom_site_occupancy
Ho1 Ho 0.000 0.197 0.239 1
Ho2 Ho 0.188 0.500 0.174 1
Ho3 Ho 0.220 0.319 0.500 1
Ga1 Ga 0.000 0.000 0.000 1
Ga2 Ga 0.000 0.000 0.500 1
Co1 Co 0.000 0.336 0.000 1
Co2 Co 0.000 0.500 0.385 1

---

# HoGa6Co6 (GGA-PBE, relaxed)
# Calculated volume, Å³/atom: 13.6
# DFT formation energy, eV/atom: -0.333
# Crystal system: orthorhombic
# Electronic total energy, eV/atom: -5.362
data_HoGa6Co6
_space_group_name_H-M_alt 'I m m m'
_space_group_IT_number 71
_space_group_name_Hall '-I 2 2'
_cell_length_a 5.043
_cell_length_b 8.172
_cell_length_c 8.607
_cell_angle_alpha 90.00
_cell_angle_beta 90.00
_cell_angle_gamma 90.00
loop_
_atom_site_label
_atom_site_type_symbol
_atom_site_fract_x
_atom_site_fract_y
_atom_site_fract_z
_atom_site_occupancy
Ho1 Ho 0.000 0.000 0.000 1
Ga1 Ga 0.000 0.000 0.344 1
Ga2 Ga 0.000 0.341 0.000 1
Ga3 Ga 0.000 0.500 0.316 1
Co1 Co 0.000 0.260 0.500 1
Co2 Co 0.250 0.250 0.250 1

---

# Ho3GaCo8 (GGA-PBE, relaxed)
# Calculated volume, Å³/atom: 14.5
# DFT formation energy, eV/atom: -0.206
# Crystal system: trigonal
# Electronic total energy, eV/atom: -6.340
data_Ho3GaCo8
_space_group_name_H-M_alt 'R 3 m'
_space_group_IT_number 160
_space_group_name_Hall 'R 3 -2"'
_cell_length_a 4.9688
_cell_length_b 4.9688
_cell_length_c 24.4233
_cell_angle_alpha 90.00
_cell_angle_beta 90.00
_cell_angle_gamma 120.00
loop_
_atom_site_label
_atom_site_type_symbol
_atom_site_fract_x
_atom_site_fract_y
_atom_site_fract_z
_atom_site_occupancy
Ho1 Ho 0.0000 0.0000 0.0000 1
Ho2 Ho 0.0000 0.0000 0.1281 1
Ho3 Ho 0.0000 0.0000 0.6182 1
Ga1 Ga 0.0000 0.0000 0.4960 1
Co1 Co 0.0000 0.0000 0.3123 1
Co2 Co 0.0000 0.0000 0.8128 1
Co3 Co 0.0028 0.5014 0.0638 1
Co4 Co 0.1675 0.3349 0.8935 1

---

Repeat the second record exactly.
# HoGaCo (GGA-PBE, relaxed)
# Calculated volume, Å³/atom: 17.6
# DFT formation energy, eV/atom: -0.507
# Crystal system: orthorhombic
# Electronic total energy, eV/atom: -5.411
data_HoGaCo
_space_group_name_H-M_alt 'P n m a'
_space_group_IT_number 62
_cell_length_a 7.014
_cell_length_b 4.397
_cell_length_c 6.841
_cell_angle_alpha 90.00
_cell_angle_beta 90.00
_cell_angle_gamma 90.00
loop_
_space_group_symop_operation_xyz
'x,y,z'
'-x,-y,-z'
'-x+1/2,-y,z+1/2'
'x+1/2,y,-z+1/2'
'x+1/2,-y+1/2,-z+1/2'
'-x+1/2,y+1/2,z+1/2'
'-x,y+1/2,-z'
'x,-y+1/2,z'
loop_
_atom_site_label
_atom_site_type_symbol
_atom_site_fract_x
_atom_site_fract_y
_atom_site_fract_z
_atom_site_occupancy
Ho1 Ho 0.023 0.250 0.196 1
Ga1 Ga 0.196 0.250 0.607 1
Co1 Co 0.153 0.750 0.437 1

---

- What is the calculated volume in the seventh record?
  13.6 Å³/atom

---

- What is the calculated volume in the sixth record?
  23.7 Å³/atom

---

- Look up the DFT formation energy of the first one.
  -0.292 eV/atom